Arrangement A

LaSN | Alexandria via LeMat-Bulk | GGA-PBE | optimized geometry; total magnetic moment = 0.0 μB/f.u.; SG = C2/m; volume = 25.662 Å³ per atom; N(E_F) = 2.5 states/eV/cell
1.0
3.694 -2.127 0.000
3.694 2.127 0.000
-2.210 0.000 9.800
La S N
2 2 2
Direct
0.092 0.092 0.319
0.908 0.908 0.681
0.289 0.289 0.810
0.711 0.711 0.190
0.420 0.420 0.466
0.580 0.580 0.534

---

Arrangement B

LaSN | Alexandria via LeMat-Bulk | GGA-PBE | optimized geometry; total magnetic moment = 0.0 μB/f.u.; SG = P2_1/c; volume = 25.278 Å³ per atom; N(E_F) = 7.0 states/eV/cell
1.0
9.201 0.000 0.000
0.000 4.084 0.000
-1.902 0.000 8.073
La S N
4 4 4
Direct
0.162 0.246 0.416
0.162 0.254 0.916
0.838 0.746 0.084
0.838 0.754 0.584
0.167 0.749 0.668
0.167 0.751 0.168
0.833 0.249 0.832
0.833 0.251 0.332
0.442 0.060 0.486
0.442 0.440 0.986
0.558 0.560 0.014
0.558 0.940 0.514

---

Arrangement C

LaSN | Alexandria via LeMat-Bulk | GGA-PBE | optimized geometry; total magnetic moment = 0.0 μB/f.u.; SG = C2/m; volume = 33.330 Å³ per atom
1.0
3.809 -3.767 0.000
3.809 3.767 0.000
-3.794 0.000 6.970
La S N
2 2 2
Direct
0.170 0.170 0.340
0.830 0.830 0.660
0.250 0.750 0.500
0.750 0.250 0.500
0.083 0.917 0.000
0.917 0.083 0.000

---

Which structure loses on stability? arrangement A does.

---

Arrangement A

LaS3N | Alexandria via LeMat-Bulk | GGA-PBE | optimized geometry; total magnetic moment = 0.0 μB/f.u.; SG = Pm-3m; volume = 16.840 Å³ per atom; N(E_F) = 3.9 states/eV/cell
1.0
4.383 0.000 0.000
0.000 4.383 0.000
0.000 0.000 4.383
La S N
1 3 1
Direct
0.000 0.000 0.000
0.000 0.500 0.500
0.500 0.000 0.500
0.500 0.500 0.000
0.500 0.500 0.500

---

Arrangement B

LaS3N | Alexandria via LeMat-Bulk | GGA-PBE | optimized geometry; total magnetic moment = 6.0 μB/f.u.; SG = Pm-3m; volume = 36.433 Å³ per atom; N(E_F) = 2.3 states/eV/cell
1.0
5.669 0.000 0.000
0.000 5.669 0.000
0.000 0.000 5.669
La S N
1 3 1
Direct
0.000 0.000 0.000
0.000 0.000 0.500
0.000 0.500 0.000
0.500 0.000 0.000
0.500 0.500 0.500

---

Which structure loses on stability? arrangement B does.

---

Arrangement A

LaSbS2N | Alexandria via LeMat-Bulk | GGA-PBE | optimized geometry; total magnetic moment = 0.5 μB/f.u.; SG = P4/mmm; volume = 25.731 Å³ per atom; N(E_F) = 4.8 states/eV/cell
1.0
5.584 0.000 0.000
0.000 5.584 0.000
0.000 0.000 4.125
La Sb S N
1 1 2 1
Direct
0.000 0.000 0.000
0.500 0.500 0.500
0.000 0.500 0.000
0.500 0.000 0.000
0.000 0.000 0.500

---

Arrangement B

LaSbS2N | Alexandria via LeMat-Bulk | GGA-PBE | optimized geometry; total magnetic moment = 0.0 μB/f.u.; SG = P4/mmm; volume = 21.238 Å³ per atom; N(E_F) = 1.2 states/eV/cell
1.0
5.093 0.000 0.000
0.000 5.093 0.000
0.000 0.000 4.094
La Sb S N
1 1 2 1
Direct
0.000 0.000 0.000
0.500 0.500 0.500
0.000 0.500 0.500
0.500 0.000 0.500
0.500 0.500 0.000

---

Which structure loses on stability? arrangement A does.

---

Arrangement A

LaSeS2N | Alexandria via LeMat-Bulk | GGA-PBE | optimized geometry; total magnetic moment = 0.0 μB/f.u.; SG = P4/mmm; volume = 19.111 Å³ per atom; N(E_F) = 1.5 states/eV/cell
1.0
4.964 0.000 0.000
0.000 4.964 0.000
0.000 0.000 3.879
La Se S N
1 1 2 1
Direct
0.000 0.000 0.000
0.500 0.500 0.500
0.000 0.500 0.500
0.500 0.000 0.500
0.500 0.500 0.000

---

Arrangement B

LaSeS2N | Alexandria via LeMat-Bulk | GGA-PBE | optimized geometry; total magnetic moment = 0.0 μB/f.u.; SG = P4/mmm; volume = 27.083 Å³ per atom; N(E_F) = 9.6 states/eV/cell
1.0
5.649 0.000 0.000
0.000 5.649 0.000
0.000 0.000 4.244
La Se S N
1 1 2 1
Direct
0.000 0.000 0.000
0.500 0.500 0.500
0.000 0.500 0.000
0.500 0.000 0.000
0.000 0.000 0.500

---

Which structure loses on stability? arrangement B does.

---

Arrangement A

LaSeSN2 | Alexandria via LeMat-Bulk | GGA-PBE | optimized geometry; total magnetic moment = 0.0 μB/f.u.; SG = P4/mmm; volume = 21.665 Å³ per atom; N(E_F) = 5.1 states/eV/cell
1.0
4.088 0.000 0.000
0.000 4.088 0.000
0.000 0.000 6.481
La Se S N
1 1 1 2
Direct
0.000 0.000 0.000
0.500 0.500 0.500
0.000 0.000 0.500
0.000 0.500 0.000
0.500 0.000 0.000

---

Arrangement B

LaSeSN2 | Alexandria via LeMat-Bulk | GGA-PBE | optimized geometry; total magnetic moment = 0.0 μB/f.u.; SG = P4/mmm; volume = 15.830 Å³ per atom; N(E_F) = 0.9 states/eV/cell
1.0
4.075 0.000 0.000
0.000 4.075 0.000
0.000 0.000 4.766
La Se S N
1 1 1 2
Direct
0.000 0.000 0.000
0.500 0.500 0.500
0.500 0.500 0.000
0.000 0.500 0.500
0.500 0.000 0.500

---

Arrangement C

LaSeSN2 | Alexandria via LeMat-Bulk | GGA-PBE | optimized geometry; total magnetic moment = 0.7 μB/f.u.; SG = P4/mmm; volume = 15.924 Å³ per atom; N(E_F) = 2.6 states/eV/cell
1.0
4.114 0.000 0.000
0.000 4.114 0.000
0.000 0.000 4.703
La Se S N
1 1 1 2
Direct
0.000 0.000 0.000
0.500 0.500 0.000
0.500 0.500 0.500
0.000 0.500 0.500
0.500 0.000 0.500

---

Which structure loses on stability? arrangement A does.

---

Arrangement A

LaSnSN2 | Alexandria via LeMat-Bulk | GGA-PBE | optimized geometry; total magnetic moment = 0.2 μB/f.u.; SG = P4/mmm; volume = 21.969 Å³ per atom; N(E_F) = 3.4 states/eV/cell
1.0
4.288 0.000 0.000
0.000 4.288 0.000
0.000 0.000 5.973
La Sn S N
1 1 1 2
Direct
0.000 0.000 0.000
0.500 0.500 0.500
0.000 0.000 0.500
0.000 0.500 0.000
0.500 0.000 0.000

---

Arrangement B

LaSnSN2 | Alexandria via LeMat-Bulk | GGA-PBE | optimized geometry; total magnetic moment = 0.5 μB/f.u.; SG = P4/mmm; volume = 17.816 Å³ per atom; N(E_F) = 0.9 states/eV/cell
1.0
4.185 0.000 0.000
0.000 4.185 0.000
0.000 0.000 5.085
La Sn S N
1 1 1 2
Direct
0.000 0.000 0.000
0.500 0.500 0.500
0.500 0.500 0.000
0.000 0.500 0.500
0.500 0.000 0.500

---

Which structure loses on stability? arrangement A does.

---

Arrangement A

LaTaSN2 | Alexandria via LeMat-Bulk | GGA-PBE | optimized geometry; total magnetic moment = 2.0 μB/f.u.; SG = P4/mmm; volume = 19.631 Å³ per atom; N(E_F) = 5.4 states/eV/cell
1.0
4.152 0.000 0.000
0.000 4.152 0.000
0.000 0.000 5.694
La Ta S N
1 1 1 2
Direct
0.000 0.000 0.000
0.500 0.500 0.500
0.000 0.000 0.500
0.000 0.500 0.000
0.500 0.000 0.000

---

Arrangement B

LaTaSN2 | Alexandria via LeMat-Bulk | GGA-PBE | optimized geometry; total magnetic moment = 0.0 μB/f.u.; SG = P4/mmm; volume = 16.431 Å³ per atom; N(E_F) = 2.0 states/eV/cell
1.0
4.127 0.000 0.000
0.000 4.127 0.000
0.000 0.000 4.824
La Ta S N
1 1 1 2
Direct
0.000 0.000 0.000
0.500 0.500 0.500
0.500 0.500 0.000
0.000 0.500 0.500
0.500 0.000 0.500

---

Arrangement C

LaTaSN2 | Alexandria via LeMat-Bulk | GGA-PBE | optimized geometry; total magnetic moment = 0.0 μB/f.u.; SG = P4mm; volume = 18.201 Å³ per atom
1.0
3.955 0.000 0.000
0.000 3.955 0.000
0.000 0.000 5.818
La Ta S N
1 1 1 2
Direct
0.000 0.000 0.000
0.500 0.500 0.344
0.500 0.500 0.752
0.000 0.500 0.245
0.500 0.000 0.245

---

Which structure loses on stability? arrangement A does.

---

Arrangement A

LaTeSN2 | Alexandria via LeMat-Bulk | GGA-PBE | optimized geometry; total magnetic moment = 0.0 μB/f.u.; SG = P4/mmm; volume = 25.307 Å³ per atom; N(E_F) = 4.2 states/eV/cell
1.0
4.120 0.000 0.000
0.000 4.120 0.000
0.000 0.000 7.455
La Te S N
1 1 1 2
Direct
0.000 0.000 0.000
0.000 0.000 0.500
0.500 0.500 0.500
0.000 0.500 0.000
0.500 0.000 0.000

---

Arrangement B

LaTeSN2 | Alexandria via LeMat-Bulk | GGA-PBE | optimized geometry; total magnetic moment = 0.0 μB/f.u.; SG = P4/mmm; volume = 22.261 Å³ per atom; N(E_F) = 4.6 states/eV/cell
1.0
4.267 0.000 0.000
0.000 4.267 0.000
0.000 0.000 6.112
La Te S N
1 1 1 2
Direct
0.000 0.000 0.000
0.500 0.500 0.500
0.000 0.000 0.500
0.000 0.500 0.000
0.500 0.000 0.000

---

Arrangement C

LaTeSN2 | Alexandria via LeMat-Bulk | GGA-PBE | optimized geometry; total magnetic moment = 0.1 μB/f.u.; SG = P4/mmm; volume = 17.838 Å³ per atom; N(E_F) = 2.9 states/eV/cell
1.0
4.217 0.000 0.000
0.000 4.217 0.000
0.000 0.000 5.016
La Te S N
1 1 1 2
Direct
0.000 0.000 0.000
0.500 0.500 0.500
0.500 0.500 0.000
0.000 0.500 0.500
0.500 0.000 0.500

---

Which structure loses on stability? arrangement A does.

---

Arrangement A

LaTiSN2 | Alexandria via LeMat-Bulk | GGA-PBE | optimized geometry; total magnetic moment = 1.5 μB/f.u.; SG = P4/mmm; volume = 20.402 Å³ per atom; N(E_F) = 7.2 states/eV/cell
1.0
4.185 0.000 0.000
0.000 4.185 0.000
0.000 0.000 5.824
La Ti S N
1 1 1 2
Direct
0.000 0.000 0.000
0.500 0.500 0.500
0.000 0.000 0.500
0.000 0.500 0.000
0.500 0.000 0.000

---

Arrangement B

LaTiSN2 | Alexandria via LeMat-Bulk | GGA-PBE | optimized geometry; total magnetic moment = 0.3 μB/f.u.; SG = P4/mmm; volume = 15.682 Å³ per atom; N(E_F) = 2.8 states/eV/cell
1.0
4.041 0.000 0.000
0.000 4.041 0.000
0.000 0.000 4.803
La Ti S N
1 1 1 2
Direct
0.000 0.000 0.000
0.500 0.500 0.500
0.500 0.500 0.000
0.000 0.500 0.500
0.500 0.000 0.500

---

Which structure loses on stability? arrangement A does.

---

Arrangement A

LaVS2N | Alexandria via LeMat-Bulk | GGA-PBE | optimized geometry; total magnetic moment = 0.1 μB/f.u.; SG = P4/mmm; volume = 17.139 Å³ per atom; N(E_F) = 1.9 states/eV/cell
1.0
4.772 0.000 0.000
0.000 4.772 0.000
0.000 0.000 3.764
La V S N
1 1 2 1
Direct
0.000 0.000 0.000
0.500 0.500 0.500
0.000 0.500 0.500
0.500 0.000 0.500
0.500 0.500 0.000

---

Arrangement B

LaVS2N | Alexandria via LeMat-Bulk | GGA-PBE | optimized geometry; total magnetic moment = 1.8 μB/f.u.; SG = P4/mmm; volume = 25.790 Å³ per atom; N(E_F) = 6.6 states/eV/cell
1.0
5.511 0.000 0.000
0.000 5.511 0.000
0.000 0.000 4.246
La V S N
1 1 2 1
Direct
0.000 0.000 0.000
0.500 0.500 0.500
0.000 0.500 0.000
0.500 0.000 0.000
0.000 0.000 0.500

---

Which structure loses on stability? arrangement B does.

---

Arrangement A

LaZrS2N | Alexandria via LeMat-Bulk | GGA-PBE | optimized geometry; total magnetic moment = 0.0 μB/f.u.; SG = P4/mmm; volume = 24.072 Å³ per atom; N(E_F) = 2.5 states/eV/cell
1.0
5.422 0.000 0.000
0.000 5.422 0.000
0.000 0.000 4.094
La Zr S N
1 1 2 1
Direct
0.000 0.000 0.000
0.500 0.500 0.500
0.000 0.500 0.000
0.500 0.000 0.000
0.000 0.000 0.500

---

Arrangement B

LaZrS2N | Alexandria via LeMat-Bulk | GGA-PBE | optimized geometry; total magnetic moment = 0.0 μB/f.u.; SG = P4/mmm; volume = 20.945 Å³ per atom; N(E_F) = 1.2 states/eV/cell
1.0
5.041 0.000 0.000
0.000 5.041 0.000
0.000 0.000 4.121
La Zr S N
1 1 2 1
Direct
0.000 0.000 0.000
0.500 0.500 0.500
0.000 0.500 0.500
0.500 0.000 0.500
0.500 0.500 0.000

---

Which structure loses on stability? arrangement A does.

---

Arrangement A

LaSb3N | Alexandria via LeMat-Bulk | GGA-PBE | optimized geometry; total magnetic moment = 0.0 μB/f.u.; SG = Pm-3m; volume = 23.144 Å³ per atom; N(E_F) = 2.7 states/eV/cell
1.0
4.873 0.000 0.000
0.000 4.873 0.000
0.000 0.000 4.873
La Sb N
1 3 1
Direct
0.000 0.000 0.000
0.000 0.500 0.500
0.500 0.000 0.500
0.500 0.500 0.000
0.500 0.500 0.500

---

Arrangement B

LaSb3N | Alexandria via LeMat-Bulk | GGA-PBE | optimized geometry; total magnetic moment = 2.9 μB/f.u.; SG = Pm-3m; volume = 45.935 Å³ per atom; N(E_F) = 2.5 states/eV/cell
1.0
6.124 0.000 0.000
0.000 6.124 0.000
0.000 0.000 6.124
La Sb N
1 3 1
Direct
0.000 0.000 0.000
0.000 0.000 0.500
0.000 0.500 0.000
0.500 0.000 0.000
0.500 0.500 0.500

---

Which structure loses on stability? arrangement B does.